# 1
A geometry-optimized Cr2GeBr structure, computed with GGA-PBE.

Calculated values
uncorrected energy: -5.887 eV/atom
raw formation energy: 0.4970 eV/atom
offset from the most stable computed form: 0 meV per atom

abc: 5.553 5.553 12.765
angles: 90.00 90.00 90.00
Space group I-42d (No. 122)
Inequivalent atoms, fractional coordinates:
Cr 0.220 0.250 0.125 (multiplicity 8)
Ge 0.000 0.000 0.000 (multiplicity 4)
Br 0.000 0.000 0.500 (multiplicity 4)

=====

# 2
A geometry-optimized Pu3Te2N2 structure, computed with GGA-PBE.

Calculated values
uncorrected energy: -10.569 eV/atom
raw formation energy: -1.1501 eV/atom
offset from the most stable computed form: 95 meV per atom

abc: 6.436 7.259 7.525
angles: 90.00 114.39 90.00
Space group P2_1/c (No. 14)
Inequivalent atoms, fractional coordinates:
Pu 0.000 0.000 0.000 (multiplicity 2)
Pu 0.405 0.138 0.785 (multiplicity 4)
Te 0.191 0.630 0.917 (multiplicity 4)
N 0.340 0.099 0.065 (multiplicity 4)

=====

# 3
A geometry-optimized SrWSeBr2 structure, computed with GGA-PBE.

Calculated values
uncorrected energy: -3.729 eV/atom
raw formation energy: 0.5646 eV/atom
offset from the most stable computed form: 897 meV per atom

abc: 5.678 5.678 6.128
angles: 90.00 90.00 90.00
Space group P4/mmm (No. 123)
Inequivalent atoms, fractional coordinates:
Sr 0.000 0.000 0.000 (multiplicity 1)
W 0.500 0.500 0.500 (multiplicity 1)
Se 0.000 0.000 0.500 (multiplicity 1)
Br 0.000 0.500 0.000 (multiplicity 2)

=====

# 4
A geometry-optimized La2TlAs structure, computed with GGA-PBE.

Calculated values
energy of formation: -790 meV/atom
uncorrected energy: -5.007 eV/atom
offset from the most stable computed form: 144 meV per atom

abc: 4.452 4.577 11.832
angles: 90.00 90.00 90.00
Space group Amm2 (No. 38)
Inequivalent atoms, fractional coordinates:
La 0.000 0.000 0.000 (multiplicity 2)
La 0.500 0.000 0.271 (multiplicity 2)
Tl 0.500 0.000 0.547 (multiplicity 2)
As 0.000 0.000 0.736 (multiplicity 2)

=====

# 5
A geometry-optimized GeP2O2 structure, computed with GGA-PBE.

Calculated values
uncorrected energy: -4.270 eV/atom
raw formation energy: 0.8004 eV/atom
offset from the most stable computed form: 1230 meV per atom

abc: 4.756 4.756 3.526
angles: 90.00 90.00 90.00
Space group P4/mmm (No. 123)
Inequivalent atoms, fractional coordinates:
Ge 0.000 0.000 0.000 (multiplicity 1)
P 0.000 0.500 0.000 (multiplicity 2)
O 0.000 0.000 0.500 (multiplicity 1)
O 0.500 0.500 0.500 (multiplicity 1)

=====

# 6
A geometry-optimized Y2MnRu structure, computed with GGA-PBE.

Calculated values
energy of formation: -74 meV/atom
uncorrected energy: -7.917 eV/atom

abc: 3.456 3.470 7.099
angles: 90.00 90.00 90.00
Space group Pmmm (No. 47)
Inequivalent atoms, fractional coordinates:
Y 0.000 0.000 0.234 (multiplicity 2)
Mn 0.500 0.500 0.500 (multiplicity 1)
Ru 0.500 0.500 0.000 (multiplicity 1)

=====

# 7
A geometry-optimized K2HgMo structure, computed with GGA-PBE.

Calculated values
energy of formation: 987 meV/atom
uncorrected energy: -2.345 eV/atom

abc: 7.989 7.989 7.989
angles: 90.00 90.00 90.00
Space group F-43m (No. 216)
Inequivalent atoms, fractional coordinates:
K 0.000 0.000 0.000 (multiplicity 4)
K 0.250 0.250 0.250 (multiplicity 4)
Hg 0.000 0.000 0.500 (multiplicity 4)
Mo 0.250 0.250 0.750 (multiplicity 4)

=====

# 8
A geometry-optimized La3EuH structure, computed with GGA-PBE.

Calculated values
uncorrected energy: -5.828 eV/atom

abc: 5.302 5.302 5.302
angles: 90.00 90.00 90.00
Space group Pm-3m (No. 221)
Inequivalent atoms, fractional coordinates:
La 0.000 0.000 0.500 (multiplicity 3)
Eu 0.500 0.500 0.500 (multiplicity 1)
H 0.000 0.000 0.000 (multiplicity 1)

=====

The lowest uncorrected energy belongs to which entry?
Pu3Te2N2